Below is a geometry-optimized TbPrCu2Sn2 structure, with properties calculated at the GGA-PBE level.

Lattice parameters (Å, degrees): 4.587 4.587 7.471 90.00 90.00 120.00
Sites, in units of the cell vectors:
Cu: 0.333 0.667 0.059
Cu: 0.667 0.333 0.534
Pr: 0.000 0.000 0.737
Sn: 0.333 0.667 0.459
Sn: 0.667 0.333 0.975
Tb: 0.000 0.000 0.236

Values from the calculation:
Its symmetry is P3m1 (156). The value obtained for the calculated density is 8.10 g/cm3. The calculation puts the calculated total energy at -4.7367 eV/atom.

Below is a geometry-optimized PrYCu2Sn2 structure, with properties calculated at the GGA-PBE level.

Lattice parameters (Å, degrees): 4.590 4.590 7.436 90.00 90.00 120.00
Sites, in units of the cell vectors:
Cu: 0.333 0.667 0.031
Cu: 0.667 0.333 0.560
Pr: 0.000 0.000 0.237
Sn: 0.333 0.667 0.477
Sn: 0.667 0.333 0.959
Y: 0.000 0.000 0.736

Values from the calculation:
Its symmetry is P3m1 (156). The value obtained for the calculated density is 7.27 g/cm3. The calculation puts the calculated total energy at -5.0479 eV/atom.

Below is a geometry-optimized Pr2YCu4Sn4 structure, with properties calculated at the GGA-PBE level.

Lattice parameters (Å, degrees): 8.549 8.549 8.549 148.97 132.29 58.01
Sites, in units of the cell vectors:
Cu: 0.484 0.170 0.314
Cu: 0.144 0.830 0.314
Cu: 0.856 0.170 0.686
Cu: 0.516 0.830 0.686
Pr: 0.868 0.368 0.500
Pr: 0.132 0.632 0.500
Sn: 0.286 0.286 0.000
Sn: 0.714 0.714 0.000
Sn: 0.207 0.000 0.207
Sn: 0.793 0.000 0.793
Y: 0.500 0.500 0.000

Values from the calculation:
Its symmetry is Immm (71). The value obtained for the calculated density is 7.72 g/cm3. The calculation puts the calculated total energy at -4.7978 eV/atom.

Below is a geometry-optimized Pr2CuTe3 structure, with properties calculated at the GGA-PBE level.

Lattice parameters (Å, degrees): 11.659 4.260 14.504 90.00 90.00 90.00
Sites, in units of the cell vectors:
Cu: 0.236 0.750 0.219
Cu: 0.736 0.750 0.281
Cu: 0.264 0.250 0.719
Cu: 0.764 0.250 0.781
Pr: 0.222 0.250 0.011
Pr: 0.482 0.250 0.244
Pr: 0.982 0.250 0.256
Pr: 0.722 0.250 0.489
Pr: 0.278 0.750 0.511
Pr: 0.018 0.750 0.744
Pr: 0.518 0.750 0.756
Pr: 0.778 0.750 0.989
Te: 0.401 0.750 0.095
Te: 0.053 0.750 0.103
Te: 0.735 0.250 0.163
Te: 0.235 0.250 0.337
Te: 0.553 0.750 0.397
Te: 0.901 0.750 0.405
Te: 0.099 0.250 0.595
Te: 0.447 0.250 0.603
Te: 0.765 0.750 0.663
Te: 0.265 0.750 0.837
Te: 0.947 0.250 0.897
Te: 0.599 0.250 0.905

Values from the calculation:
Its symmetry is Pnma (62). The value obtained for the calculated density is 6.71 g/cm3. The calculation puts the calculated total energy at -4.8712 eV/atom.

Below is a geometry-optimized Pr2CuTe3 structure, with properties calculated at the GGA-PBE level.

Lattice parameters (Å, degrees): 9.084 4.338 17.709 90.00 90.00 90.00
Sites, in units of the cell vectors:
Cu: 0.368 0.250 0.135
Cu: 0.868 0.250 0.365
Cu: 0.132 0.750 0.635
Cu: 0.632 0.750 0.865
Pr: 0.745 0.250 0.036
Pr: 0.059 0.750 0.210
Pr: 0.559 0.750 0.290
Pr: 0.245 0.250 0.464
Pr: 0.755 0.750 0.536
Pr: 0.441 0.250 0.710
Pr: 0.941 0.250 0.790
Pr: 0.255 0.750 0.964
Te: 0.103 0.250 0.074
Te: 0.508 0.750 0.101
Te: 0.793 0.250 0.219
Te: 0.293 0.250 0.281
Te: 0.008 0.750 0.399
Te: 0.603 0.250 0.426
Te: 0.397 0.750 0.574
Te: 0.992 0.250 0.601
Te: 0.707 0.750 0.719
Te: 0.207 0.750 0.781
Te: 0.492 0.250 0.899
Te: 0.897 0.750 0.926

Values from the calculation:
Its symmetry is Pnma (62). The value obtained for the calculated density is 6.93 g/cm3. The calculation puts the calculated total energy at -4.8600 eV/atom.

Below is a geometry-optimized PrTlCuTe3 structure, with properties calculated at the GGA-PBE level.

Lattice parameters (Å, degrees): 8.015 8.015 11.796 90.00 90.00 149.03
Sites, in units of the cell vectors:
Cu: 0.532 0.468 0.250
Cu: 0.468 0.532 0.750
Pr: 0.000 0.000 0.000
Pr: 0.000 0.000 0.500
Te: 0.639 0.361 0.075
Te: 0.928 0.072 0.250
Te: 0.639 0.361 0.425
Te: 0.361 0.639 0.575
Te: 0.072 0.928 0.750
Te: 0.361 0.639 0.925
Tl: 0.247 0.753 0.250
Tl: 0.753 0.247 0.750

Values from the calculation:
Its symmetry is Cmcm (63). The value obtained for the calculated density is 6.74 g/cm3. The calculation puts the calculated total energy at -4.0598 eV/atom.

Below is a geometry-optimized PrTmCuTe3 structure, with properties calculated at the GGA-PBE level.

Lattice parameters (Å, degrees): 7.477 7.477 11.049 90.00 90.00 147.43
Sites, in units of the cell vectors:
Cu: 0.532 0.468 0.250
Cu: 0.468 0.532 0.750
Pr: 0.233 0.767 0.250
Pr: 0.767 0.233 0.750
Te: 0.645 0.355 0.061
Te: 0.912 0.088 0.250
Te: 0.645 0.355 0.439
Te: 0.355 0.645 0.561
Te: 0.088 0.912 0.750
Te: 0.355 0.645 0.939
Tm: 0.000 0.000 0.000
Tm: 0.000 0.000 0.500

Values from the calculation:
Its symmetry is Cmcm (63). The value obtained for the calculated density is 7.55 g/cm3. The calculation puts the calculated total energy at -4.7752 eV/atom.

Below is a geometry-optimized PrTmCu structure, with properties calculated at the GGA-PBE level.

Lattice parameters (Å, degrees): 4.830 4.830 4.830 60.00 60.00 60.00
Sites, in units of the cell vectors:
Cu: 0.250 0.250 0.250
Pr: 0.750 0.750 0.750
Tm: 0.000 0.000 0.000

Values from the calculation:
For the formation energy from the elements, the calculation gives 1.70 eV per formula unit. Its symmetry is F-43m (216). The value obtained for the calculated density is 7.78 g/cm3. The calculation puts the calculated total energy at -3.7551 eV/atom.

Below is a geometry-optimized PrUCu structure, with properties calculated at the GGA-PBE level.

Lattice parameters (Å, degrees): 4.714 4.714 4.714 60.00 60.00 60.00
Sites, in units of the cell vectors:
Cu: 0.000 0.000 0.000
Pr: 0.250 0.250 0.250
U: 0.750 0.750 0.750

Values from the calculation:
For the formation energy from the elements, the calculation gives 2.90 eV per formula unit. Its symmetry is F-43m (216). The value obtained for the calculated density is 9.92 g/cm3. The calculation puts the calculated total energy at -5.6310 eV/atom.

Below is a geometry-optimized PrCuW structure, with properties calculated at the GGA-PBE level.

Lattice parameters (Å, degrees): 4.699 4.699 4.699 60.00 60.00 60.00
Sites, in units of the cell vectors:
Cu: 0.250 0.250 0.250
Pr: 0.000 0.000 0.000
W: 0.750 0.750 0.750

Values from the calculation:
For the formation energy from the elements, the calculation gives 5.20 eV per formula unit. Its symmetry is F-43m (216). The value obtained for the calculated density is 8.79 g/cm3. The calculation puts the calculated total energy at -5.4187 eV/atom.